An optimized crystal structure of Tl2GaCo, computed with PBE-GGA.

Geometry as extended XYZ:
```
8
Lattice="9.9412 0.0000 0.0000 0.0000 9.9412 0.0000 4.9706 4.9706 2.3093" Properties=species:S:1:pos:R:3 pbc="T T T"
Tl 4.9757 2.4853 0.5773
Tl 4.9656 7.4559 0.5773
Tl 7.4559 9.9362 1.7320
Tl 12.4265 9.9463 1.7320
Co 4.9706 4.9706 0.0000
Co 4.9706 9.9412 1.1546
Ga 0.0000 0.0000 0.0000
Ga 9.9412 4.9706 1.1546
```

Results
E_form = 134.3 meV per atom
Volume = 114 Å³/f.u.
Total magnetization = 0.00 μB/atom


An optimized crystal structure of TlGa2Co2, computed with PBE-GGA.

Geometry as extended XYZ:
```
10
Lattice="7.2964 0.0000 0.0000 0.0000 7.2964 0.0000 0.0000 0.0000 2.7967" Properties=species:S:1:pos:R:3 pbc="T T T"
Tl 0.0000 0.0000 0.0000
Tl 3.6482 3.6482 0.0000
Co 1.1436 4.7918 1.3984
Co 4.7918 6.1528 1.3984
Co 6.1528 2.5046 1.3984
Co 2.5046 1.1436 1.3984
Ga 2.6770 6.3252 0.0000
Ga 6.3252 4.6194 0.0000
Ga 4.6194 0.9712 0.0000
Ga 0.9712 2.6770 0.0000
```

Results
E_form = 162.7 meV per atom
Volume = 74 Å³/f.u.
Total magnetization = 0.00 μB/atom
Excess energy over the best structure of this formula in the dataset = 0.1016 eV per atom


An optimized crystal structure of TlGaCo2, computed with PBE-GGA.

Geometry as extended XYZ:
```
8
Lattice="-3.7698 0.1243 -1.6701 1.6276 -0.6974 -3.7257 -1.8906 -8.7266 -1.4760" Properties=species:S:1:pos:R:3 pbc="T T T"
Tl 0.0000 0.0000 0.0000
Tl -3.3658 -4.4445 -2.9220
Co -2.1584 -2.2066 -1.6717
Co -0.3936 -2.5866 -3.1132
Co -2.0197 -6.8463 -3.5919
Co -3.4940 -6.9601 -5.3669
Ga -1.0711 -0.2866 -2.6979
Ga -0.6671 -4.8553 -3.9498
```

Results
E_form = 504.8 meV per atom
Volume = 73 Å³/f.u.
Total magnetization = 0.70 μB/atom
Excess energy over the best structure of this formula in the dataset = 0.2204 eV per atom


An optimized crystal structure of TlGa3Co, computed with PBE-GGA.

Geometry as extended XYZ:
```
5
Lattice="4.6573 0.0000 0.0000 0.0000 4.6573 0.0000 0.0000 0.0000 4.6573" Properties=species:S:1:pos:R:3 pbc="T T T"
Tl 2.3287 2.3287 2.3287
Co 0.0000 0.0000 0.0000
Ga 0.0000 2.3287 0.0000
Ga 0.0000 0.0000 2.3287
Ga 2.3287 0.0000 0.0000
```

Results
E_form = -79.0 meV per atom
Volume = 101 Å³/f.u.
Total magnetization = 0.00 μB/atom


An optimized crystal structure of TlGaCo3, computed with PBE-GGA.

Geometry as extended XYZ:
```
5
Lattice="-2.8239 -1.9656 2.7243 -1.2185 -2.7173 -3.2235 3.1306 -2.8306 1.2027" Properties=species:S:1:pos:R:3 pbc="T T T"
Tl -0.4559 -3.7567 0.3518
Co -0.6092 -1.3586 -1.6118
Co 1.5653 -1.4153 0.6014
Co -1.4119 -0.9828 1.3621
Ga 0.0000 0.0000 0.0000
```

Results
E_form = 863.8 meV per atom
Volume = 85 Å³/f.u.
Total magnetization = 0.71 μB/atom
Excess energy over the best structure of this formula in the dataset = 0.0000 eV per atom


An optimized crystal structure of YTlGa2Co, computed with PBE-GGA.

Geometry as extended XYZ:
```
5
Lattice="4.6588 0.0000 0.0000 0.0000 4.6588 0.0000 0.0000 0.0000 5.0485" Properties=species:S:1:pos:R:3 pbc="T T T"
Y 0.0000 0.0000 2.5243
Tl 2.3294 2.3294 2.5243
Co 0.0000 0.0000 0.0000
Ga 0.0000 2.3294 0.0000
Ga 2.3294 0.0000 0.0000
```

Results
E_form = -227.1 meV per atom
Volume = 110 Å³/f.u.
Total magnetization = 0.00 μB/atom


An optimized crystal structure of TlZnGa2Co, computed with PBE-GGA.

Geometry as extended XYZ:
```
5
Lattice="4.6007 0.0000 0.0000 0.0000 4.6007 0.0000 0.0000 0.0000 4.7921" Properties=species:S:1:pos:R:3 pbc="T T T"
Tl 2.3004 2.3004 2.3961
Co 0.0000 0.0000 0.0000
Zn 0.0000 0.0000 2.3961
Ga 0.0000 2.3004 0.0000
Ga 2.3004 0.0000 0.0000
```

Results
E_form = -5.7 meV per atom
Volume = 101 Å³/f.u.
Total magnetization = 0.00 μB/atom


An optimized crystal structure of Tm3Ga5Co6, computed with PBE-GGA.

Geometry as extended XYZ:
```
28
Lattice="-3.7582 0.0020 -1.6929 -2.0839 -6.7720 4.6184 -4.0396 7.3651 8.9767" Properties=species:S:1:pos:R:3 pbc="T T T"
Tm -3.3256 3.4460 7.3870
Tm -4.2369 -3.6543 4.3838
Tm -6.6968 0.8306 9.8501
Tm -0.4512 -1.4663 1.0000
Tm -5.5316 -1.6222 7.2604
Tm -1.7459 0.5658 3.8766
Ga -4.6356 2.9743 10.2948
Ga -4.4727 -1.1189 9.9283
Ga -1.6623 -5.4020 3.6841
Ga -5.3868 1.3023 6.9423
Ga -4.3205 2.3135 4.5763
Ga -1.5635 -2.6269 3.4679
Ga -4.4194 -0.4616 4.7925
Ga -3.2231 -3.3974 7.1513
Ga -5.5497 5.3955 7.3088
Ga -2.7598 0.3089 1.1090
Co -5.4194 -0.4233 12.0307
Co -4.6031 4.6999 5.2064
Co -6.0173 3.2271 8.3443
Co -3.0376 -3.7638 1.7211
Co -2.9452 0.6753 6.5393
Co -4.0051 1.0495 8.8928
Co -2.4997 -1.6954 5.5473
Co -3.8572 -6.4270 3.5374
Co -2.6826 -5.4130 5.9492
Co -3.4832 -1.3931 2.7130
Co -2.1257 3.3385 4.7230
Co -3.3002 2.3245 2.3112
```

Results
E_form = -409.7 meV per atom
Volume = 214 Å³/f.u.
Total magnetization = 0.06 μB/atom